1.
Computed, not measured: SrLaBi2Ir after structural relaxation at the PBEsol level of DFT.

POSCAR file:
```
SrLaBi2Ir
1.0
-1.0786 4.8815 2.4523
-1.1037 -2.6898 4.8688
5.4528 0.4571 1.4886
Bi Ir La Sr
2 1 1 1
Cartesian
2.7264 0.2285 0.7443 Bi
-0.5518 -1.3449 2.4344 Bi
1.6353 1.3244 4.4048 Ir
-0.5393 2.4407 1.2261 La
0.0000 0.0000 0.0000 Sr
```

Results
As for the formation energy: 1.648 eV/atom. As for the symmetry: P4/mmm (123). For the spin magnetization, the calculation gives 1.678 μB per cell. Its crystal system is tetragonal. Its density is 7.759 g/cm³.

***

2.
Computed, not measured: InSi2Te after structural relaxation at the PBEsol level of DFT.

POSCAR file:
```
InSi2Te
1.0
-2.0356 -0.6151 -3.1248
0.7797 -4.9616 0.4688
-4.1268 1.6907 2.3555
Si Te In
2 1 1
Cartesian
-1.2939 -3.8394 -0.6873 Si
0.6218 -4.7434 0.5287 Si
-1.5576 -1.7935 1.3677 Te
-4.0468 -0.1067 0.3712 In
```

Results
As for the symmetry: Amm2 (38). For the spin magnetization, the calculation gives 0.000 μB per cell. Its crystal system is orthorhombic. Its density is 5.661 g/cm³. The final energy comes out at -4.333 eV per atom.

***

3.
Computed, not measured: BaMgCl2 after structural relaxation at the PBEsol level of DFT.

POSCAR file:
```
BaMgCl2
1.0
-4.9110 -0.9705 2.0186
-0.5434 -3.0099 4.4475
-1.5108 2.2967 4.6451
Mg Ba Cl
1 1 2
Cartesian
-3.4826 -0.8418 5.5556 Mg
0.0000 0.0000 0.0000 Ba
-5.2239 -1.2627 8.3334 Cl
-1.7413 -0.4209 2.7778 Cl
```

Results
As for the symmetry: Fm-3m (225). For the spin magnetization, the calculation gives 0.000 μB per cell. Its crystal system is cubic. Its density is 3.473 g/cm³. The final energy comes out at -3.408 eV per atom.

***

4.
Computed, not measured: Li2Lu3Ge3 after structural relaxation at the PBEsol level of DFT.

POSCAR file:
```
Li2Lu3Ge3
1.0
-0.4376 4.0449 -0.4236
-4.3552 -2.2082 3.1639
7.3091 1.9897 11.4499
Li Ge Lu
4 6 6
Cartesian
4.4856 3.7716 11.6315 Li
0.5209 0.7328 6.4597 Li
-1.9693 0.0549 2.5587 Li
1.9953 3.0937 7.7305 Li
2.2000 3.3904 10.3526 Ge
6.0618 1.8619 11.5178 Ge
0.3163 0.4361 3.8377 Ge
-3.5456 1.9646 2.6724 Ge
-0.5575 2.7780 7.3533 Ge
3.0738 1.0485 6.8369 Ge
-0.0082 2.2312 1.5638 Lu
2.5244 1.5953 12.6264 Lu
0.5983 1.0709 9.6090 Lu
1.9180 2.7555 4.5812 Lu
-1.6988 2.3856 4.7852 Lu
4.2151 1.4409 9.4050 Lu
```

Results
As for the formation energy: -0.678 eV/atom. As for the symmetry: Cmcm (63). For the spin magnetization, the calculation gives 0.960 μB per cell. Its crystal system is orthorhombic. Its density is 8.215 g/cm³.

***

5.
Computed, not measured: SrTaPd2Pt after structural relaxation at the PBEsol level of DFT.

POSCAR file:
```
SrTaPd2Pt
1.0
-4.2930 -0.3435 -1.8444
-1.6068 -1.7045 4.0575
-1.1709 5.2594 1.7458
Sr Pd Ta Pt
1 2 1 1
Cartesian
-0.5854 2.6297 0.8729 Sr
-2.1465 -0.1717 -0.9222 Pd
-0.8034 -0.8522 2.0287 Pd
0.0000 0.0000 0.0000 Ta
-3.5354 1.6057 1.9794 Pt
```

Results
As for the formation energy: 1.202 eV/atom. As for the symmetry: P4/mmm (123). For the spin magnetization, the calculation gives 0.000 μB per cell. Its crystal system is tetragonal. Its density is 9.036 g/cm³.

***

6.
Computed, not measured: Tc5Rh after structural relaxation at the PBEsol level of DFT.

POSCAR file:
```
Tc5Rh
1.0
2.7101 0.0000 0.0000
0.0000 4.3156 0.0000
-1.3550 0.0000 7.0897
Rh Tc
1 5
Cartesian
0.0000 0.0000 0.0192 Rh
1.3550 2.1578 0.7913 Tc
0.0000 0.0000 4.7165 Tc
1.3550 2.1578 5.5090 Tc
0.0000 2.1578 3.1644 Tc
1.3550 0.0000 2.3423 Tc
```

Results
As for the formation energy: -0.078 eV/atom. As for the symmetry: Amm2 (38). For the spin magnetization, the calculation gives 0.000 μB per cell. Its crystal system is orthorhombic. Its density is 11.874 g/cm³.

***

7.
Computed, not measured: InFeRh after structural relaxation at the PBEsol level of DFT.

POSCAR file:
```
InFeRh
1.0
4.2250 0.0000 0.0000
2.1125 3.6589 0.0000
2.1125 1.2196 3.4497
In Rh Fe
1 1 1
Cartesian
2.1125 1.2196 0.8624 In
0.0000 0.0000 0.0000 Rh
4.2250 2.4393 1.7248 Fe
```

Results
As for the formation energy: 0.596 eV/atom. As for the symmetry: F-43m (216). For the spin magnetization, the calculation gives 2.934 μB per cell. Its crystal system is cubic. Its density is 8.518 g/cm³.

***

8.
Computed, not measured: Sc2CuPb after structural relaxation at the PBEsol level of DFT.

POSCAR file:
```
Sc2CuPb
1.0
3.3578 0.0000 0.0000
-1.6789 4.2101 0.0056
0.0000 -1.3663 6.1073
Sc Pb Cu
2 1 1
Cartesian
0.0000 1.8194 1.7628 Sc
1.6789 1.0244 4.3500 Sc
1.6789 0.0000 0.0000 Pb
0.0000 -0.6832 3.0536 Cu
```

Results
As for the formation energy: -0.127 eV/atom. As for the symmetry: C2/m (12). For the spin magnetization, the calculation gives 0.000 μB per cell. Its crystal system is monoclinic. Its density is 6.934 g/cm³.

***

9.
Computed, not measured: NiAsS after structural relaxation at the PBEsol level of DFT.

POSCAR file:
```
NiAsS
1.0
-3.9805 3.4720 1.8842
-3.9140 -3.8285 -1.2138
0.5349 -2.1766 5.1407
S As Ni
4 4 4
Cartesian
-5.8494 -1.4920 0.6938 S
-3.6426 1.2731 4.6940 S
-2.8173 -0.9697 2.2246 S
-2.4100 -3.8775 4.0099 S
-4.5819 -1.5770 3.6178 As
-1.5128 -1.0686 5.0730 As
-4.9044 1.3347 1.8253 As
-3.7203 -3.7552 1.1062 As
-1.7909 0.6624 3.4764 Ni
-7.3003 -2.5126 5.7642 Ni
-3.9424 -0.2547 0.3517 Ni
-1.6858 -2.9612 2.0299 Ni
```

Results
As for the symmetry: P2_13 (198). For the spin magnetization, the calculation gives 0.001 μB per cell. Its crystal system is cubic. Its density is 6.239 g/cm³. The final energy comes out at -5.633 eV per atom.

***

10.
Computed, not measured: InPb2 after structural relaxation at the PBEsol level of DFT.

POSCAR file:
```
InPb2
1.0
3.3809 0.0000 0.0000
0.0000 3.3809 0.0000
-1.6905 -1.6905 15.2223
Pb In
4 2
Cartesian
0.0000 0.0000 12.8432 Pb
1.6905 0.0000 9.9902 Pb
1.6905 1.6905 2.3791 Pb
1.6905 0.0000 5.2320 Pb
0.0000 0.0000 0.0000 In
0.0000 1.6905 7.6111 In
```

Results
As for the formation energy: 0.048 eV/atom. As for the symmetry: I4_1/amd (141). For the spin magnetization, the calculation gives 0.000 μB per cell. Its crystal system is tetragonal. Its density is 10.101 g/cm³.

***

11.
Computed, not measured: Li2VFeO4 after structural relaxation at the PBEsol level of DFT.

POSCAR file:
```
Li2VFeO4
1.0
-3.8614 -2.2761 2.5773
3.0352 0.2207 4.6562
-1.6213 7.2801 -0.8687
O V Fe Li
12 3 3 6
Cartesian
-1.8797 0.8707 3.7427 O
1.7568 -0.3190 4.6544 O
-4.2043 5.5437 1.7103 O
-3.0023 3.2467 2.6419 O
-0.9658 1.9422 1.3994 O
-1.4277 6.7474 1.5998 O
-0.4245 0.9921 6.0404 O
-2.0230 4.2325 0.3244 O
-1.4817 3.2825 4.9653 O
0.5548 1.9780 3.7229 O
-0.5677 4.3540 2.6221 O
-1.0198 -1.5227 4.7650 O
-1.2237 2.6123 3.1824 V
-2.3645 5.1081 2.0128 V
-0.0830 0.1166 4.3520 V
-2.7414 2.5020 0.8543 Fe
-1.6701 -0.0623 1.9094 Fe
-0.7773 5.2870 4.4554 Fe
0.9488 1.2915 1.8099 Li
1.4595 3.8175 3.0743 Li
-3.3963 3.9332 4.5549 Li
-3.9070 1.4072 3.2905 Li
-4.9392 3.7897 2.1785 Li
2.4917 1.4350 4.1863 Li
```

Results
As for the symmetry: P-1 (2). For the spin magnetization, the calculation gives 4.668 μB per cell. Its crystal system is triclinic. Its density is 4.584 g/cm³. The final energy comes out at -7.401 eV per atom.

***

12.
Computed, not measured: LiCd2Pb after structural relaxation at the PBEsol level of DFT.

POSCAR file:
```
LiCd2Pb
1.0
-1.4203 3.6371 -1.9472
-2.3614 -2.4062 -2.7722
-1.6718 -0.4560 5.2560
Pb Cd Li
1 2 1
Cartesian
-1.1807 -1.2031 -1.3861 Pb
-1.7814 0.0797 1.4482 Cd
-3.6720 0.6952 -0.9116 Cd
-0.7101 1.8186 -0.9736 Li
```

Results
As for the formation energy: -0.129 eV/atom. As for the symmetry: I4/mmm (139). For the spin magnetization, the calculation gives 0.000 μB per cell. Its crystal system is tetragonal. Its density is 8.331 g/cm³.